No. 1
Si3PtS | PBE-GGA | relaxed

Results
calculated volume = 20.8 Å³/atom
symmetry = Pm-3m, No. 221
size of the total moment = 0.00 μB/f.u.
density of states at the Fermi level = 0.72 states/eV per atom
energy relative to the elements, uncorrected = 2.54 eV/f.u.

Cell lengths 4.704, 4.704, 4.704 Å; angles 90.00, 90.00, 90.00 degrees
Atoms (fractional coordinates):
S (0.500, 0.500, 0.500)
Si (0.000, 0.500, 0.000)
Si (0.000, 0.000, 0.500)
Si (0.500, 0.000, 0.000)
Pt (0.000, 0.000, 0.000)

No. 2
CeScTl2S4 | PBE-GGA | relaxed

Results
calculated volume = 26.0 Å³/atom
symmetry = P2/m, No. 10
size of the total moment = 1.02 μB/f.u.
density of states at the Fermi level = 0.88 states/eV per atom
energy relative to the elements, uncorrected = -10.89 eV/f.u.

Cell lengths 3.998, 6.925, 7.839 Å; angles 106.59, 90.00, 90.00 degrees
Each line ends with the local moment (μB).
Atoms (fractional coordinates):
Ce (0.500, 0.500, 0.000)  0.85
Sc (0.000, 0.000, 0.000)  0.05
Tl (0.500, 0.000, 0.500)  0.00
Tl (0.000, 0.500, 0.500)  0.01
S (0.500, 0.212, 0.189)  -0.01
S (0.500, 0.788, 0.811)  -0.01
S (0.000, 0.249, 0.802)  -0.01
S (0.000, 0.751, 0.198)  -0.01